1.
# Mn2ZnNi

A relaxed Mn2ZnNi crystal (GGA-PBEsol, Alexandria).

Computed properties:
The value obtained for the energy of formation is 28.2 meV/atom. The calculation puts the total energy at -6.7872 eV per atom.

Structure (POSCAR):
```
Mn2ZnNi
1.0
4.023 0.000 0.000
2.012 3.484 0.000
2.012 1.161 3.285
Mn Ni Zn
2 1 1
Direct
0.750 0.750 0.750
0.000 0.000 0.000
0.500 0.500 0.500
0.250 0.250 0.250
```

2.
# MnZnNi2

A relaxed MnZnNi2 crystal (GGA-PBEsol, Alexandria).

Computed properties:
The value obtained for the energy of formation is -92.4 meV/atom. The calculation puts the total energy at -6.0069 eV per atom.

Structure (POSCAR):
```
MnZnNi2
1.0
-2.453 0.309 2.494
1.272 -2.853 1.605
2.889 3.420 -0.053
Zn Ni Mn
1 2 1
Direct
0.500 0.500 0.000
0.000 0.000 0.000
0.250 0.750 0.500
0.750 0.250 0.500
```

3.
# Mn3ZnNi

A relaxed Mn3ZnNi crystal (GGA-PBEsol, Alexandria).

Computed properties:
The value obtained for the energy of formation is 1456.0 meV/atom. The calculation puts the total energy at -5.9486 eV per atom.

Structure (POSCAR):
```
Mn3ZnNi
1.0
4.435 0.000 0.000
0.000 4.435 0.000
0.000 0.000 4.435
Mn Zn Ni
3 1 1
Direct
0.000 0.000 0.500
0.000 0.500 0.000
0.500 0.000 0.000
0.000 0.000 0.000
0.500 0.500 0.500
```

4.
# MnZnNi2

A relaxed MnZnNi2 crystal (GGA-PBEsol, Alexandria).

Computed properties:
The value obtained for the energy of formation is -112.9 meV/atom. The calculation puts the total energy at -6.0274 eV per atom.

Structure (POSCAR):
```
MnZnNi2
1.0
2.714 0.000 0.000
0.000 3.181 0.000
0.000 0.000 5.345
Zn Mn Ni
1 1 2
Direct
0.500 0.500 0.000
0.500 0.500 0.500
0.000 0.000 0.749
0.000 0.000 0.251
```

5.
# ZrMn2Ni

A relaxed ZrMn2Ni crystal (GGA-PBEsol, Alexandria).

Computed properties:
The value obtained for the energy of formation is 101.6 meV/atom. The calculation puts the total energy at -8.5908 eV per atom.

Structure (POSCAR):
```
ZrMn2Ni
1.0
-2.026 1.491 2.400
-1.812 -3.421 0.595
4.652 0.021 1.396
Mn Ni Zr
2 1 1
Direct
0.741 0.741 0.481
0.259 0.259 0.519
0.000 0.500 0.000
0.500 0.000 0.000
```

6.
# ZrMn2Ni

A relaxed ZrMn2Ni crystal (GGA-PBEsol, Alexandria).

Computed properties:
The value obtained for the energy of formation is 336.3 meV/atom. The calculation puts the total energy at -8.3561 eV per atom.

Structure (POSCAR):
```
ZrMn2Ni
1.0
-1.781 1.589 -1.424
-2.607 0.322 0.908
0.907 7.278 4.275
Mn Ni Zr
2 1 1
Direct
0.251 0.251 0.248
0.989 0.989 0.034
0.509 0.509 0.473
0.752 0.752 0.745
```

7.
# Zr2MnNi

A relaxed Zr2MnNi crystal (GGA-PBEsol, Alexandria).

Computed properties:
The value obtained for the energy of formation is -51.7 meV/atom. The calculation puts the total energy at -8.5763 eV per atom.

Structure (POSCAR):
```
Zr2MnNi
1.0
-2.377 -2.034 -0.274
2.721 -3.171 -0.067
-0.451 2.258 5.131
Zr Mn Ni
2 1 1
Direct
0.764 0.264 0.527
0.988 0.988 0.976
0.530 0.530 0.060
0.218 0.718 0.436
```

8.
# Zr2MnNi

A relaxed Zr2MnNi crystal (GGA-PBEsol, Alexandria).

Computed properties:
The value obtained for the energy of formation is -235.0 meV/atom. The calculation puts the total energy at -8.7596 eV per atom.

Structure (POSCAR):
```
Zr2MnNi
1.0
3.165 0.000 0.000
0.000 3.165 0.000
0.000 0.000 6.258
Zr Ni Mn
2 1 1
Direct
0.000 0.000 0.244
0.000 0.000 0.756
0.500 0.500 0.500
0.500 0.500 0.000
```

9.
# Zr3Mn2Ni4

A relaxed Zr3Mn2Ni4 crystal (GGA-PBEsol, Alexandria).

Computed properties:
The value obtained for the energy of formation is -328.6 meV/atom. The calculation puts the total energy at -8.2643 eV per atom.

Structure (POSCAR):
```
Zr3Mn2Ni4
1.0
4.841 -0.003 0.002
-2.405 4.259 -0.004
-0.035 -0.032 12.020
Zr Ni Mn
6 8 4
Direct
0.993 0.995 0.376
0.007 0.005 0.624
0.340 0.663 0.709
0.660 0.337 0.291
0.331 0.670 0.957
0.669 0.330 0.043
0.332 0.166 0.834
0.000 0.000 0.000
0.500 0.000 0.500
0.670 0.332 0.666
0.167 0.335 0.166
0.833 0.665 0.834
0.668 0.834 0.166
0.330 0.668 0.334
0.000 0.500 0.500
0.167 0.833 0.166
0.833 0.167 0.834
0.500 0.500 0.500
```

10.
# Mn5O8

A relaxed Mn5O8 crystal (GGA-PBEsol, Alexandria).

Computed properties:
For the energy relative to the elements, uncorrected, the calculation gives -153.04 kJ/mol of atoms. Its energy above the most stable polymorph in this dataset is 0 meV/atom. The calculation puts the total energy at -8.5707 eV per atom.

Structure (POSCAR):
```
Mn5O8
1.0
-2.232 4.286 0.090
-1.865 -1.081 5.231
5.598 1.246 -0.806
O Mn
8 5
Direct
0.608 0.655 0.765
0.100 0.896 0.793
0.392 0.345 0.235
0.907 0.604 0.208
0.093 0.396 0.792
0.392 0.890 0.235
0.900 0.104 0.207
0.608 0.110 0.765
0.000 0.741 0.000
0.640 0.723 0.446
0.500 0.000 0.000
0.360 0.277 0.554
0.000 0.259 0.000
```

11.
# Mn2O3

A relaxed Mn2O3 crystal (GGA-PBEsol, Alexandria).

Computed properties:
For the energy relative to the elements, uncorrected, the calculation gives -146.01 kJ/mol of atoms. The calculation puts the total energy at -8.5673 eV per atom.

Structure (POSCAR):
```
Mn2O3
1.0
5.148 0.000 0.000
0.000 8.657 0.000
0.000 0.000 9.319
O Mn
24 16
Direct
0.671 0.164 0.263
0.028 0.826 0.995
0.052 0.165 0.994
0.948 0.835 0.494
0.022 0.480 0.494
0.842 0.002 0.772
0.978 0.520 0.994
0.972 0.174 0.495
0.171 0.336 0.263
0.478 0.980 0.994
0.472 0.326 0.495
0.329 0.836 0.763
0.658 0.502 0.272
0.448 0.665 0.494
0.161 0.666 0.237
0.661 0.834 0.237
0.339 0.166 0.737
0.342 0.498 0.772
0.829 0.664 0.763
0.528 0.674 0.995
0.552 0.335 0.994
0.839 0.334 0.737
0.522 0.020 0.494
0.158 0.998 0.272
0.205 0.354 0.054
0.675 0.481 0.864
0.179 0.662 0.871
0.821 0.338 0.371
0.679 0.838 0.871
0.175 0.019 0.864
0.825 0.981 0.364
0.823 0.659 0.145
0.705 0.146 0.054
0.677 0.159 0.645
0.321 0.162 0.371
0.295 0.854 0.554
0.177 0.341 0.645
0.795 0.646 0.554
0.325 0.519 0.364
0.323 0.841 0.145
```

12.
# Mn5O8

A relaxed Mn5O8 crystal (GGA-PBEsol, Alexandria).

Computed properties:
For the energy relative to the elements, uncorrected, the calculation gives -150.39 kJ/mol of atoms. Its energy above the most stable polymorph in this dataset is 27 meV/atom. The calculation puts the total energy at -8.5433 eV per atom.

Structure (POSCAR):
```
Mn5O8
1.0
5.700 0.000 0.000
2.850 4.937 0.000
2.850 1.646 4.715
O Mn
8 5
Direct
0.749 0.277 0.226
0.251 0.723 0.774
0.749 0.749 0.226
0.266 0.266 0.202
0.277 0.749 0.226
0.734 0.734 0.798
0.723 0.251 0.774
0.251 0.251 0.774
0.500 0.500 0.000
0.000 0.000 0.000
0.500 0.500 0.500
0.500 0.000 0.000
0.000 0.500 0.000
```

13.
# Mn2O3

A relaxed Mn2O3 crystal (GGA-PBEsol, Alexandria).

Computed properties:
For the energy relative to the elements, uncorrected, the calculation gives -152.02 kJ/mol of atoms. The calculation puts the total energy at -8.6296 eV per atom.

Structure (POSCAR):
```
Mn2O3
1.0
-5.765 4.764 -3.175
-1.429 -1.065 7.927
7.262 3.505 -0.996
Mn O
16 24
Direct
0.750 0.215 0.465
0.535 0.250 0.785
0.465 0.750 0.215
0.785 0.035 0.750
0.285 0.535 0.750
0.000 0.000 0.500
0.035 0.250 0.285
0.750 0.715 0.965
0.250 0.285 0.035
0.215 0.965 0.250
0.000 0.500 0.000
0.500 0.000 0.000
0.965 0.750 0.715
0.500 0.500 0.500
0.715 0.465 0.250
0.250 0.785 0.535
0.228 0.515 0.955
0.955 0.940 0.227
0.728 0.773 0.712
0.515 0.455 0.728
0.985 0.712 0.940
0.227 0.788 0.772
0.015 0.288 0.060
0.273 0.045 0.560
0.045 0.060 0.773
0.940 0.727 0.455
0.712 0.440 0.485
0.272 0.227 0.288
0.788 0.272 0.727
0.727 0.955 0.440
0.455 0.228 0.015
0.772 0.485 0.045
0.440 0.985 0.212
0.212 0.728 0.273
0.773 0.212 0.228
0.288 0.560 0.515
0.560 0.015 0.788
0.485 0.545 0.272
0.060 0.273 0.545
0.545 0.772 0.985
```

14.
# Mn3O4

A relaxed Mn3O4 crystal (GGA-PBEsol, Alexandria).

Computed properties:
For the energy relative to the elements, uncorrected, the calculation gives -140.59 kJ/mol of atoms. The calculation puts the total energy at -8.6401 eV per atom.

Structure (POSCAR):
```
Mn3O4
1.0
2.906 0.000 0.000
0.000 9.590 0.000
0.000 0.000 9.623
Mn O
12 16
Direct
0.251 0.500 0.634
0.751 0.819 0.620
0.249 0.181 0.120
0.750 0.319 0.880
0.250 0.319 0.380
0.750 0.000 0.366
0.750 0.681 0.880
0.250 0.000 0.866
0.250 0.681 0.380
0.749 0.500 0.134
0.249 0.819 0.120
0.751 0.181 0.620
0.249 0.637 0.026
0.751 0.000 0.709
0.751 0.637 0.526
0.251 0.750 0.750
0.250 0.863 0.474
0.250 0.137 0.474
0.251 0.250 0.750
0.750 0.137 0.974
0.751 0.500 0.791
0.249 0.363 0.026
0.249 0.500 0.291
0.751 0.363 0.526
0.249 0.000 0.209
0.749 0.250 0.250
0.749 0.750 0.250
0.750 0.863 0.974
```

15.
# Mn2O3

A relaxed Mn2O3 crystal (GGA-PBEsol, Alexandria).

Computed properties:
For the energy relative to the elements, uncorrected, the calculation gives -150.70 kJ/mol of atoms. The calculation puts the total energy at -8.6159 eV per atom.

Structure (POSCAR):
```
Mn2O3
1.0
4.888 0.000 0.000
2.444 4.233 0.000
2.444 1.411 4.503
O Mn
6 4
Direct
0.750 0.061 0.750
0.250 0.939 0.250
0.561 0.250 0.250
0.061 0.439 0.750
0.439 0.750 0.750
0.939 0.561 0.250
0.654 0.654 0.038
0.154 0.154 0.538
0.846 0.846 0.462
0.346 0.346 0.962
```

16.
# Mn7O12

A relaxed Mn7O12 crystal (GGA-PBEsol, Alexandria).

Computed properties:
For the energy relative to the elements, uncorrected, the calculation gives -152.18 kJ/mol of atoms. The calculation puts the total energy at -8.4888 eV per atom.

Structure (POSCAR):
```
Mn7O12
1.0
-1.650 -0.831 -5.914
3.988 -4.436 1.675
-5.031 -0.276 3.606
Mn O
7 12
Direct
0.500 0.000 0.000
0.000 0.500 0.000
0.000 0.000 0.500
0.500 0.500 0.500
0.000 0.500 0.500
0.500 0.500 0.000
0.500 0.000 0.500
0.187 0.500 0.313
0.313 0.187 0.500
0.813 0.500 0.687
0.875 0.687 0.187
0.500 0.313 0.187
0.500 0.687 0.813
0.813 0.125 0.313
0.125 0.313 0.813
0.187 0.875 0.687
0.313 0.813 0.125
0.687 0.187 0.875
0.687 0.813 0.500
```

17.
# Mn3O4

A relaxed Mn3O4 crystal (GGA-PBEsol, Alexandria).

Computed properties:
For the energy relative to the elements, uncorrected, the calculation gives -141.72 kJ/mol of atoms. The calculation puts the total energy at -8.6518 eV per atom.

Structure (POSCAR):
```
Mn3O4
1.0
5.764 0.000 0.000
-2.882 5.486 0.023
0.000 3.008 4.917
Mn O
6 8
Direct
0.375 0.250 0.875
0.875 0.250 0.875
0.500 0.000 0.500
0.875 0.750 0.375
0.250 0.500 0.250
0.875 0.750 0.875
0.119 0.239 0.105
0.105 0.761 0.119
0.094 0.739 0.631
0.645 0.739 0.631
0.119 0.239 0.656
0.656 0.761 0.119
0.631 0.261 0.645
0.631 0.261 0.094
```

18.
# Mn2O3

A relaxed Mn2O3 crystal (GGA-PBEsol, Alexandria).

Computed properties:
For the energy relative to the elements, uncorrected, the calculation gives -143.22 kJ/mol of atoms. The calculation puts the total energy at -8.5384 eV per atom.

Structure (POSCAR):
```
Mn2O3
1.0
-4.759 -0.880 -1.337
3.591 -3.449 -1.415
0.246 -0.903 5.236
O Mn
6 4
Direct
0.878 0.273 0.746
0.122 0.727 0.254
0.202 0.869 0.800
0.578 0.628 0.819
0.798 0.131 0.200
0.422 0.372 0.181
0.631 0.316 0.937
0.000 0.500 0.500
0.000 0.000 0.000
0.369 0.684 0.063
```

19.
# Mn3OsO

A relaxed Mn3OsO crystal (GGA-PBEsol, Alexandria).

Computed properties:
For the energy relative to the elements, uncorrected, the calculation gives -13.47 kJ/mol of atoms. The calculation puts the total energy at -9.4893 eV per atom.

Structure (POSCAR):
```
Mn3OsO
1.0
3.726 0.000 0.000
0.000 3.726 0.000
0.000 0.000 3.726
Mn Os O
3 1 1
Direct
0.500 0.000 0.000
0.000 0.500 0.000
0.000 0.000 0.500
0.500 0.500 0.500
0.000 0.000 0.000
```

20.
# MnOsRh2O

A relaxed MnOsRh2O crystal (GGA-PBEsol, Alexandria).

Computed properties:
For the energy relative to the elements, uncorrected, the calculation gives 73.66 kJ/mol of atoms. The calculation puts the total energy at -7.9373 eV per atom.

Structure (POSCAR):
```
MnOsRh2O
1.0
-2.819 1.000 1.236
-2.259 -2.259 -3.325
-0.165 -3.759 2.665
Rh O Os Mn
2 1 1 1
Direct
0.000 0.500 0.000
0.000 0.000 0.500
0.500 0.000 0.000
0.500 0.500 0.500
0.000 0.000 0.000
```